P.
Compound: Au3Cl
Source: Alexandria
Functional: PBE
Structure: relaxed

Summary:
As for the density of states at the Fermi level: 0.199 states/eV/atom. Its space group is P4/mmm (123).

Cell: 3.349 3.349 6.962 Å, 90.00 90.00 90.00°
Sites, in units of the cell vectors:
Au 0.000 0.000 0.000
Au 0.500 0.500 0.225
Au 0.500 0.500 0.775
Cl 0.000 0.000 0.500

=====

Q.
Compound: Au3Cl
Source: Alexandria
Functional: PBE
Structure: relaxed

Summary:
As for the density of states at the Fermi level: 0.275 states/eV/atom. Its space group is Pm-3n (223).

Cell: 5.411 5.411 5.411 Å, 90.00 90.00 90.00°
Sites, in units of the cell vectors:
Au 0.000 0.250 0.500
Au 0.000 0.750 0.500
Au 0.250 0.500 0.000
Au 0.500 0.000 0.250
Au 0.500 0.000 0.750
Au 0.750 0.500 0.000
Cl 0.000 0.000 0.000
Cl 0.500 0.500 0.500

=====

R.
Compound: Au3Cl
Source: Alexandria
Functional: PBE
Structure: relaxed

Summary:
As for the density of states at the Fermi level: 0.482 states/eV/atom. Its space group is Cmmm (65).

Cell: 5.169 5.169 2.936 Å, 90.00 90.00 103.98°
Sites, in units of the cell vectors:
Au 0.000 0.000 0.000
Au 0.000 0.500 0.500
Au 0.500 0.000 0.500
Cl 0.500 0.500 0.000

=====

Most stable of them? P.